(i)
{
  "formula": "Al3GePb",
  "functional": "PBE",
  "state": "optimized geometry",
  "lattice_angstrom": [[5.335, 0.000, 0.000], [0.000, 5.335, 0.000], [0.000, 0.000, 5.335]],
  "species": ["Al", "Al", "Al", "Ge", "Pb"],
  "frac_coords": [[0.000, 0.000, 0.500], [0.000, 0.500, 0.000], [0.500, 0.000, 0.000], [0.500, 0.500, 0.500], [0.000, 0.000, 0.000]],
  "volume_a3_per_cell": 151.9,
  "dos_ef_per_ev_atom": 0.965,
  "crystal_system": "cubic",
  "density_g_cm3": 3.9,
  "m_tot_mub_per_cell": 0.000
}



(ii)
{
  "formula": "Al3GePb",
  "functional": "PBE",
  "state": "optimized geometry",
  "lattice_angstrom": [[4.957, 0.000, 0.000], [0.000, 4.957, 0.000], [0.000, 0.000, 4.957]],
  "species": ["Al", "Al", "Al", "Ge", "Pb"],
  "frac_coords": [[0.000, 0.000, 0.500], [0.000, 0.500, 0.000], [0.500, 0.000, 0.000], [0.000, 0.000, 0.000], [0.500, 0.500, 0.500]],
  "volume_a3_per_cell": 121.8,
  "dos_ef_per_ev_atom": 0.695,
  "crystal_system": "cubic",
  "density_g_cm3": 4.9,
  "m_tot_mub_per_cell": 0.000
}



Of them, (i) has the lowest stability.



(i)
{
  "formula": "Al2GePb2",
  "functional": "PBE",
  "state": "optimized geometry",
  "lattice_angstrom": [[6.813, 0.000, 0.000], [0.000, 6.813, 0.000], [0.000, 0.000, 5.246]],
  "species": ["Al", "Al", "Al", "Al", "Ge", "Ge", "Pb", "Pb", "Pb", "Pb"],
  "frac_coords": [[0.138, 0.362, 0.000], [0.362, 0.862, 0.000], [0.638, 0.138, 0.000], [0.862, 0.638, 0.000], [0.000, 0.000, 0.000], [0.500, 0.500, 0.000], [0.181, 0.681, 0.500], [0.319, 0.181, 0.500], [0.681, 0.819, 0.500], [0.819, 0.319, 0.500]],
  "volume_a3_per_cell": 243.5,
  "dos_ef_per_ev_atom": 0.368,
  "crystal_system": "tetragonal",
  "density_g_cm3": 7.4,
  "m_tot_mub_per_cell": 0.000
}



(ii)
{
  "formula": "Al2GePb2",
  "functional": "PBE",
  "state": "optimized geometry",
  "lattice_angstrom": [[8.689, 0.000, 0.000], [0.000, 8.689, 0.000], [0.000, 0.000, 3.357]],
  "species": ["Al", "Al", "Al", "Al", "Ge", "Ge", "Pb", "Pb", "Pb", "Pb"],
  "frac_coords": [[0.111, 0.389, 0.000], [0.389, 0.889, 0.000], [0.611, 0.111, 0.000], [0.889, 0.611, 0.000], [0.000, 0.000, 0.500], [0.500, 0.500, 0.500], [0.187, 0.687, 0.500], [0.313, 0.187, 0.500], [0.687, 0.813, 0.500], [0.813, 0.313, 0.500]],
  "volume_a3_per_cell": 253.5,
  "dos_ef_per_ev_atom": 0.568,
  "crystal_system": "tetragonal",
  "density_g_cm3": 7.1,
  "m_tot_mub_per_cell": 0.000
}



Of them, (ii) has the lowest stability.